1.
Below is crystalline Ce5SnBi4 at its relaxed geometry, with properties calculated at the PBE-GGA level.

Lattice parameters (Å, degrees): 7.934 7.934 7.934 99.59 99.59 131.83
Atoms (fractional coordinates):
Ce 0.000 0.000 0.000
Ce 0.204 0.401 0.605
Ce 0.401 0.796 0.197
Ce 0.599 0.204 0.803
Ce 0.796 0.599 0.395
Sn 0.500 0.500 0.000
Bi 0.098 0.699 0.797
Bi 0.301 0.098 0.399
Bi 0.699 0.902 0.601
Bi 0.902 0.301 0.203

Summary:
- space group = I4/m (87)
- M_tot (μB per cell) = 3.81
- formation energy (eV/f.u.) = -7.3


2.
Below is crystalline Pm2YSc at its relaxed geometry, with properties calculated at the PBE-GGA level.

Lattice parameters (Å, degrees): 5.028 5.028 4.925 90.00 90.00 90.00
Atoms (fractional coordinates):
Pm 0.000 0.500 0.000
Pm 0.500 0.000 0.000
Y 0.000 0.000 0.500
Sc 0.500 0.500 0.500

Summary:
- space group = P4/mmm (123)
- M_tot (μB per cell) = 0.00
- formation energy (eV/f.u.) = 0.2
- distance to the lowest polymorph of the same formula (eV/atom) = 0.0016


3.
Below is crystalline Zr4TaAg at its relaxed geometry, with properties calculated at the PBE-GGA level.

Lattice parameters (Å, degrees): 5.698 5.698 5.698 60.00 60.00 60.00
Atoms (fractional coordinates):
Zr 0.377 0.377 0.377
Zr 0.377 0.377 0.870
Zr 0.377 0.870 0.377
Zr 0.870 0.377 0.377
Ta 0.750 0.750 0.750
Ag 0.000 0.000 0.000

Summary:
- space group = F-43m (216)
- M_tot (μB per cell) = 0.00
- formation energy (eV/f.u.) = 3.1


4.
Below is crystalline Ta3NbGe at its relaxed geometry, with properties calculated at the PBE-GGA level.

Lattice parameters (Å, degrees): 4.716 4.716 4.716 90.00 90.00 90.00
Atoms (fractional coordinates):
Ta 0.000 0.000 0.500
Ta 0.000 0.500 0.000
Ta 0.500 0.000 0.000
Nb 0.500 0.500 0.500
Ge 0.000 0.000 0.000

Summary:
- space group = Pm-3m (221)
- M_tot (μB per cell) = 0.00
- formation energy (eV/f.u.) = 5.1
- distance to the lowest polymorph of the same formula (eV/atom) = 1.0271


5.
Below is crystalline TmMgBr at its relaxed geometry, with properties calculated at the PBE-GGA level.

Lattice parameters (Å, degrees): 15.625 3.563 3.563 60.10 90.00 90.00
Atoms (fractional coordinates):
Tm 0.169 0.000 0.000
Tm 0.831 0.000 0.000
Mg 0.000 0.336 0.336
Mg 0.500 0.325 0.325
Br 0.299 0.333 0.333
Br 0.701 0.333 0.333

Summary:
- space group = Amm2 (38)
- M_tot (μB per cell) = 0.31
- raw formation energy (eV per atom) = -0.60


6.
Below is crystalline SmGd2Ho at its relaxed geometry, with properties calculated at the PBE-GGA level.

Lattice parameters (Å, degrees): 5.697 5.697 5.697 60.00 60.00 60.00
Atoms (fractional coordinates):
Sm 0.000 0.000 0.000
Gd 0.250 0.250 0.250
Gd 0.750 0.750 0.750
Ho 0.500 0.500 0.500

Summary:
- space group = Fm-3m (225)
- M_tot (μB per cell) = 16.14
- formation energy (eV/f.u.) = 0.4
- distance to the lowest polymorph of the same formula (eV/atom) = 0.0780